This record from Alexandria via LeMat-Bulk describes a geometry-optimized VCo2AuO structure. The functional is PBE with a Hubbard U.

Computed properties:
Fermi-level density of states = 1.17 states/eV per atom
Energy above the lowest structure with this stoichiometry = 1.513 eV/atom
Magnetization = 3.06 μB per formula unit
V = 19.6 Å³ per atom

Lattice parameters (Å, degrees): 4.492 4.856 4.492 90.00 90.00 90.00
Element x y z (fractional)
V (0.000, 0.000, 0.000)
Au (0.000, 0.500, 0.000)
O (0.500, 0.500, 0.500)
Co (0.500, 0.000, 0.000)
Co (0.000, 0.000, 0.500)